Nd4PtSI2 after structural relaxation, computed with PBE-GGA.

Geometry as CIF:
```
data_Nd4PtSI2
_space_group_name_H-M_alt 'P 1'
_space_group_IT_number 1
_cell_length_a 4.145
_cell_length_b 7.475
_cell_length_c 8.164
_cell_angle_alpha 106.89
_cell_angle_beta 90.00
_cell_angle_gamma 90.00
loop_
_space_group_symop_operation_xyz
'x,y,z'
loop_
_atom_site_label
_atom_site_type_symbol
_atom_site_fract_x
_atom_site_fract_y
_atom_site_fract_z
_atom_site_occupancy
Nd1 Nd 0.500 0.222 0.193 1
Nd2 Nd 0.500 0.778 0.807 1
Nd3 Nd 0.000 0.279 0.807 1
Nd4 Nd 0.000 0.721 0.193 1
Pt1 Pt 0.000 0.000 0.000 1
S1 S 0.500 0.500 0.000 1
I1 I 0.500 0.000 0.500 1
I2 I 0.000 0.500 0.500 1
```

Results
Its total energy is -42.5 eV per formula unit. The space group is P2/m, No. 10. The calculation puts the uncorrected formation energy at -1.270 eV/atom.


NaNi after structural relaxation, computed with PBE-GGA.

Geometry as CIF:
```
data_NaNi
_space_group_name_H-M_alt 'P 1'
_space_group_IT_number 1
_cell_length_a 2.722
_cell_length_b 3.545
_cell_length_c 8.142
_cell_angle_alpha 90.00
_cell_angle_beta 90.29
_cell_angle_gamma 90.00
loop_
_space_group_symop_operation_xyz
'x,y,z'
loop_
_atom_site_label
_atom_site_type_symbol
_atom_site_fract_x
_atom_site_fract_y
_atom_site_fract_z
_atom_site_occupancy
Na1 Na 0.245 0.250 0.197 1
Na2 Na 0.755 0.750 0.803 1
Ni1 Ni 0.251 0.250 0.546 1
Ni2 Ni 0.749 0.750 0.454 1
```

Results
The calculation puts the formation energy at 0.292 eV/atom. Its total energy is -6.5 eV per formula unit. The space group is P2_1/m, No. 11.


HoThScMn after structural relaxation, computed with PBE-GGA.

Geometry as CIF:
```
data_HoThScMn
_space_group_name_H-M_alt 'P 1'
_space_group_IT_number 1
_cell_length_a 5.217
_cell_length_b 5.217
_cell_length_c 5.217
_cell_angle_alpha 60.00
_cell_angle_beta 60.00
_cell_angle_gamma 60.00
loop_
_space_group_symop_operation_xyz
'x,y,z'
loop_
_atom_site_label
_atom_site_type_symbol
_atom_site_fract_x
_atom_site_fract_y
_atom_site_fract_z
_atom_site_occupancy
Sc1 Sc 0.000 0.000 0.000 1
Mn1 Mn 0.500 0.500 0.500 1
Ho1 Ho 0.250 0.250 0.250 1
Th1 Th 0.750 0.750 0.750 1
```

Results
The calculation puts the formation energy at 0.222 eV/atom. Its total energy is -26.6 eV per formula unit. The space group is F-43m, No. 216.


HfCo2Sb2 after structural relaxation, computed with PBE-GGA.

Geometry as CIF:
```
data_HfCo2Sb2
_space_group_name_H-M_alt 'P 1'
_space_group_IT_number 1
_cell_length_a 4.599
_cell_length_b 4.599
_cell_length_c 5.365
_cell_angle_alpha 64.62
_cell_angle_beta 64.62
_cell_angle_gamma 90.00
loop_
_space_group_symop_operation_xyz
'x,y,z'
loop_
_atom_site_label
_atom_site_type_symbol
_atom_site_fract_x
_atom_site_fract_y
_atom_site_fract_z
_atom_site_occupancy
Sb1 Sb 0.750 0.250 0.500 1
Sb2 Sb 0.250 0.750 0.500 1
Hf1 Hf 0.000 0.000 0.000 1
Co1 Co 0.367 0.367 0.267 1
Co2 Co 0.633 0.633 0.733 1
```

Results
Its total energy is -31.9 eV per formula unit. The space group is I4/mmm, No. 139. The calculation puts the uncorrected formation energy at 0.103 eV/atom.